No. 1
A geometry-optimized TlCoTc structure. Source: Alexandria, functional PBE.

```
TlCoTc
1.0
0.000 2.962 2.962
2.962 0.000 2.962
2.962 2.962 0.000
Tl Co Tc
1 1 1
direct
0.000 0.000 0.000
0.250 0.250 0.250
0.500 0.500 0.500
```

- Crystal system: cubic
- SG: F-43m (216)
- Theoretical density: 11.55 Mg/m³
- ΔH_f (0 K): 0.686 eV per atom
- Energy above the most stable polymorph in this dataset: 18.3 kJ per mole of atoms



No. 2
A geometry-optimized Ba2MgCl structure. Source: Alexandria, functional PBE.

```
Ba2MgCl
1.0
8.696 -2.204 0.000
8.696 2.204 0.000
-1.111 0.000 4.268
Ba Mg Cl
2 1 1
direct
0.000 0.000 0.000
0.745 0.745 0.746
0.388 0.388 0.390
0.189 0.189 0.191
```

- Crystal system: monoclinic
- E_form (uncorrected): -0.886 eV per atom
- SG: Cm (8)
- Theoretical density: 3.39 Mg/m³
- Energy above the most stable polymorph in this dataset: 0.0 kJ per mole of atoms



No. 3
A geometry-optimized ZrAlNi structure. Source: Alexandria, functional PBE.

```
ZrAlNi
1.0
6.430 0.000 0.000
0.000 4.109 0.000
-0.009 0.000 7.492
Zr Al Ni
4 4 4
direct
0.228 0.000 0.062
0.228 0.500 0.437
0.772 0.000 0.938
0.772 0.500 0.563
0.435 0.000 0.659
0.435 0.500 0.841
0.565 0.000 0.341
0.565 0.500 0.159
0.054 0.000 0.657
0.054 0.500 0.843
0.946 0.000 0.343
0.946 0.500 0.157
```

- Crystal system: monoclinic
- SG: P2/m (10)
- Theoretical density: 5.94 Mg/m³
- ΔH_f (0 K): -0.377 eV per atom



| no. | spin magnetization (μB/f.u.) |
| --- | --- |
| 1 | 1.01 |
| 2 | 0.00 |
| 3 | 0.00 |